Cs2CoCuO4 PBE+U optimized geometry; VASP energy = -4.815 eV/atom
1.0
5.020 0.000 0.000
2.510 6.261 0.000
2.510 0.000 10.821
O Cs Cu Co
8 4 2 2
Cartesian
3.674 1.072 0.930
4.929 4.203 4.481
2.601 2.059 4.481
7.621 4.203 6.340
3.856 1.072 9.892
3.856 5.190 0.930
8.695 5.190 9.892
4.929 2.059 6.340
6.275 3.131 1.654
2.510 0.000 7.065
6.275 3.131 9.167
5.020 0.000 3.757
6.275 3.131 5.411
0.000 0.000 0.000
3.765 3.131 5.411
2.510 0.000 0.000